1.
The following is a DFT calculation (PBE-GGA) of a relaxed structure of CoAs2HCl.

```
5
Lattice="4.7102 0.0000 0.0000 0.0000 3.2708 0.0000 0.0000 0.0000 4.7102" Properties=species:S:1:pos:R:3 pbc="T T T"
As 0.0000 0.0000 2.3551
As 2.3551 0.0000 0.0000
Cl 2.3551 1.6354 2.3551
Co 0.0000 0.0000 0.0000
H 0.0000 1.6354 0.0000
```

DFT total energy (eV/atom): -4.11

***

2.
The following is a DFT calculation (PBE-GGA) of a relaxed structure of Li3AgO3.

```
14
Lattice="3.8613 0.0000 0.0000 0.0000 7.2995 -0.0108 0.0000 -3.6466 6.3235" Properties=species:S:1:pos:R:3 pbc="T T T"
Ag 2.8960 -0.0041 4.2156
Ag 0.9653 3.6570 2.0972
Li 0.9653 -2.0344 5.3932
Li 2.8960 5.6873 0.9195
Li 2.8960 1.6152 0.9349
Li 2.8960 3.6516 4.4464
Li 0.9653 2.0377 5.3779
Li 0.9653 0.0013 1.8663
O 0.9653 3.6524 4.1375
O 0.9653 5.4213 1.0735
O 0.9653 1.8835 1.0884
O 2.8960 -1.7684 5.2393
O 2.8960 1.7694 5.2244
O 2.8960 0.0004 2.1753
```

Formation energy from raw total energies (meV/atom): -1032